(1)
The following is a PBE calculation of crystalline BaCaGaIr at its relaxed geometry, from Alexandria via LeMat-Bulk.

Cell and atoms, written as POSCAR:
```
BaCaGaIr
1.0
-2.622 0.842 3.414
0.708 -1.980 3.849
4.084 5.527 4.591
Ga Ir Ca Ba
1 1 1 1
direct
0.270 0.270 0.189
0.603 0.603 0.192
0.011 0.011 0.967
0.842 0.842 0.474
```

energy of formation	-0.43	eV per atom
symmetry	R3m (160)
M_tot	0.00	Bohr magnetons per cell

(2)
The following is a PBE calculation of crystalline Tb2Nd2Y2Er at its relaxed geometry, from Alexandria via LeMat-Bulk.

Cell and atoms, written as POSCAR:
```
Tb2Nd2Y2Er
1.0
3.528 0.000 0.000
-1.764 5.673 1.614
0.000 0.589 11.835
Tb Nd Y Er
2 2 2 1
direct
0.229 0.457 0.635
0.771 0.543 0.365
0.327 0.653 0.087
0.673 0.347 0.913
0.452 0.903 0.770
0.548 0.097 0.230
0.000 0.000 0.500
```

energy of formation	0.08	eV per atom
symmetry	C2/m (12)
M_tot	0.00	Bohr magnetons per cell

(3)
The following is a PBE calculation of crystalline Ac2Al3SnAu4 at its relaxed geometry, from Alexandria via LeMat-Bulk.

Cell and atoms, written as POSCAR:
```
Ac2Al3SnAu4
1.0
-4.593 -0.229 0.514
0.033 -4.329 -1.633
1.306 -3.760 9.996
Au Ac Al Sn
4 2 3 1
direct
0.000 0.000 0.000
0.500 0.000 0.643
0.000 0.500 0.357
0.500 0.500 0.000
0.000 0.500 0.758
0.500 0.000 0.242
0.000 0.000 0.500
0.500 0.000 0.881
0.000 0.500 0.119
0.500 0.500 0.500
```

energy of formation	-0.70	eV per atom
symmetry	P-4m2 (115)
M_tot	0.00	Bohr magnetons per cell

(4)
The following is a PBE calculation of crystalline Tb2Be3Cu12Si at its relaxed geometry, from Alexandria via LeMat-Bulk.

Cell and atoms, written as POSCAR:
```
Tb2Be3Cu12Si
1.0
7.232 -0.135 -0.095
3.455 6.355 -0.095
3.455 2.011 6.029
Cu Tb Be Si
12 2 3 1
direct
0.879 0.879 0.377
0.377 0.879 0.879
0.659 0.099 0.659
0.121 0.121 0.623
0.901 0.341 0.341
0.341 0.341 0.901
0.623 0.121 0.121
0.659 0.659 0.099
0.121 0.623 0.121
0.099 0.659 0.659
0.341 0.901 0.341
0.879 0.377 0.879
0.606 0.606 0.606
0.394 0.394 0.394
0.000 0.000 0.500
0.000 0.500 0.000
0.500 0.000 0.000
0.000 0.000 0.000
```

formation energy (no corrections)	0.29	eV/atom
symmetry	R-3m (166)
M_tot	0.00	Bohr magnetons per cell

(5)
The following is a PBE calculation of crystalline ZrSi2Hg at its relaxed geometry, from Alexandria via LeMat-Bulk.

Cell and atoms, written as POSCAR:
```
ZrSi2Hg
1.0
-0.904 -5.491 -0.426
4.803 1.682 1.695
-0.100 -0.681 3.000
Si Hg Zr
2 1 1
direct
0.000 0.000 0.000
0.500 0.000 0.500
0.500 0.500 0.000
0.000 0.500 0.500
```

formation energy (no corrections)	0.10	eV/atom
symmetry	C2/m (12)
M_tot	0.00	Bohr magnetons per cell

(6)
The following is a PBE calculation of crystalline Sc2MoAu at its relaxed geometry, from Alexandria via LeMat-Bulk.

Cell and atoms, written as POSCAR:
```
Sc2MoAu
1.0
-2.879 0.972 -0.367
-1.477 -3.724 1.728
0.135 2.392 5.272
Sc Mo Au
2 1 1
direct
0.500 0.500 0.281
0.000 0.000 0.962
0.500 0.500 0.783
0.000 0.000 0.475
```

energy of formation	-0.08	eV per atom
symmetry	Pmm2 (25)
M_tot	0.00	Bohr magnetons per cell

Which formula does entry 4 have?
Tb2Be3Cu12Si